First-principles (GGA+U) data for an optimized crystal structure of Mn2CuCO, as listed in Alexandria via LeMat-Bulk.

a b c (Å): 4.125 3.902 4.125
angles (deg): 90.00 90.00 90.00
Fractional positions:
C 0.000 0.500 0.000
Mn 0.000 0.000 0.500
Mn 0.500 0.000 0.000
O 0.000 0.000 0.000
Cu 0.500 0.500 0.500

Output
- E_tot: -29.01 eV for the cell shown
- Crystal system: tetragonal
- Calculated volume: 13.278 Å³/atom